--- w ---
Crystalline InSn3Au6 at its relaxed geometry, computed with PBE-GGA.

Unit cell a=7.572 b=7.572 c=7.739 alpha=90.00 beta=90.00 gamma=87.84
Fractional positions:
In (0.204, 0.796, 0.500)
In (0.796, 0.204, 0.000)
Sn (0.034, 0.287, 0.417)
Sn (0.287, 0.034, 0.917)
Sn (0.491, 0.509, 0.877)
Sn (0.509, 0.491, 0.377)
Sn (0.713, 0.966, 0.417)
Sn (0.966, 0.713, 0.917)
Au (0.025, 0.975, 0.213)
Au (0.164, 0.478, 0.703)
Au (0.168, 0.360, 0.070)
Au (0.291, 0.709, 0.146)
Au (0.360, 0.168, 0.570)
Au (0.478, 0.164, 0.203)
Au (0.522, 0.836, 0.703)
Au (0.640, 0.832, 0.070)
Au (0.709, 0.291, 0.646)
Au (0.832, 0.640, 0.570)
Au (0.836, 0.522, 0.203)
Au (0.975, 0.025, 0.713)

Summary:
Calculated volume in Å³/cell: 443.5
DOS at the Fermi energy in states/eV/atom: 0.272
Total magnetization in μB per cell: 0.000

=====

--- x ---
Crystalline InSn3Au6 at its relaxed geometry, computed with PBE-GGA.

Unit cell a=6.337 b=9.151 c=9.850 alpha=90.00 beta=129.12 gamma=90.00
Fractional positions:
In (0.000, 0.000, 0.000)
In (0.000, 0.500, 0.500)
Sn (0.207, 0.095, 0.759)
Sn (0.207, 0.405, 0.259)
Sn (0.500, 0.000, 0.500)
Sn (0.500, 0.500, 0.000)
Sn (0.793, 0.595, 0.741)
Sn (0.793, 0.905, 0.241)
Au (0.076, 0.190, 0.436)
Au (0.076, 0.310, 0.936)
Au (0.276, 0.703, 0.434)
Au (0.276, 0.797, 0.934)
Au (0.496, 0.147, 0.241)
Au (0.496, 0.353, 0.741)
Au (0.504, 0.647, 0.259)
Au (0.504, 0.853, 0.759)
Au (0.724, 0.203, 0.066)
Au (0.724, 0.297, 0.566)
Au (0.924, 0.690, 0.064)
Au (0.924, 0.810, 0.564)

Summary:
Calculated volume in Å³/cell: 443.1
DOS at the Fermi energy in states/eV/atom: 0.344
Total magnetization in μB per cell: 0.000

=====

How far above the most stable structure does each one sit? In eV/atom: w 0.000; x 0.011.